# 1
VASP calculation (PBE) on LaNdTl3 after structural relaxation.

a b c (Å): 8.340 8.340 10.877
angles (deg): 90.00 90.00 75.20
Atoms (fractional coordinates):
La (0.009, 0.991, 0.750)
La (0.417, 0.583, 0.750)
La (0.583, 0.417, 0.250)
La (0.991, 0.009, 0.250)
Nd (0.000, 0.500, 0.000)
Nd (0.000, 0.500, 0.500)
Nd (0.500, 0.000, 0.000)
Nd (0.500, 0.000, 0.500)
Tl (0.152, 0.588, 0.250)
Tl (0.197, 0.803, 0.002)
Tl (0.197, 0.803, 0.498)
Tl (0.379, 0.379, 0.000)
Tl (0.379, 0.379, 0.500)
Tl (0.412, 0.848, 0.250)
Tl (0.588, 0.152, 0.750)
Tl (0.621, 0.621, 0.000)
Tl (0.621, 0.621, 0.500)
Tl (0.803, 0.197, 0.502)
Tl (0.803, 0.197, 0.998)
Tl (0.848, 0.412, 0.750)

Output
DOS at the Fermi energy: 20.4 states/eV per cell
Calculated total energy: -67.7 eV/cell
Total moment: 0.0 μB per cell
Crystal system: orthorhombic

# 2
VASP calculation (PBE) on HfC3S after structural relaxation.

a b c (Å): 3.670 3.670 3.670
angles (deg): 90.00 90.00 90.00
Atoms (fractional coordinates):
Hf (0.000, 0.000, 0.000)
C (0.000, 0.500, 0.500)
C (0.500, 0.000, 0.500)
C (0.500, 0.500, 0.000)
S (0.500, 0.500, 0.500)

Output
DOS at the Fermi energy: 2.7 states/eV per cell
Calculated total energy: -33.2 eV/cell
Raw formation energy: 1.708 eV/atom
Total moment: 0.0 μB per cell
Crystal system: cubic

# 3
VASP calculation (PBE) on CsRbNaAu2 after structural relaxation.

a b c (Å): 5.145 5.145 9.780
angles (deg): 90.00 90.00 120.00
Atoms (fractional coordinates):
Cs (0.000, 0.000, 0.000)
Rb (0.667, 0.333, 0.402)
Na (0.333, 0.667, 0.708)
Au (0.333, 0.667, 0.225)
Au (0.667, 0.333, 0.754)

Output
DOS at the Fermi energy: 3.2 states/eV per cell
Calculated total energy: -10.7 eV/cell
Total moment: 0.0 μB per cell
Crystal system: trigonal

# 4
VASP calculation (PBE) on MoC5 after structural relaxation.

a b c (Å): 7.945 2.785 4.358
angles (deg): 90.00 92.61 90.00
Atoms (fractional coordinates):
Mo (0.000, 0.000, 0.000)
Mo (0.500, 0.500, 0.000)
C (0.150, 0.500, 0.414)
C (0.199, 0.000, 0.621)
C (0.218, 0.500, 0.104)
C (0.381, 0.000, 0.655)
C (0.465, 0.000, 0.373)
C (0.650, 0.000, 0.414)
C (0.699, 0.500, 0.621)
C (0.718, 0.000, 0.104)
C (0.881, 0.500, 0.655)
C (0.965, 0.500, 0.373)

Output
DOS at the Fermi energy: 3.0 states/eV per cell
Calculated total energy: -101.8 eV/cell
Total moment: 0.0 μB per cell
Crystal system: monoclinic

Repeat the second record exactly.
VASP calculation (PBE) on HfC3S after structural relaxation.

a b c (Å): 3.670 3.670 3.670
angles (deg): 90.00 90.00 90.00
Atoms (fractional coordinates):
Hf (0.000, 0.000, 0.000)
C (0.000, 0.500, 0.500)
C (0.500, 0.000, 0.500)
C (0.500, 0.500, 0.000)
S (0.500, 0.500, 0.500)

Output
DOS at the Fermi energy: 2.7 states/eV per cell
Calculated total energy: -33.2 eV/cell
Raw formation energy: 1.708 eV/atom
Total moment: 0.0 μB per cell
Crystal system: cubic

Question: Look up the DOS at the Fermi energy of the first one.
Answer: 20.4 states/eV per cell